# PBE+U K2CaV3F12, optimized geometry
# Final energy ... -0.42212 Ry/atom
# Total magnetic moment ... 21.0 μB/cell
data_K2CaV3F12
_symmetry_space_group_name_H-M 'R -3 m'
_symmetry_Int_Tables_number 166
_symmetry_space_group_name_Hall '-R 3 2"'
_cell_length_a 7.6438
_cell_length_b 7.6438
_cell_length_c 18.0360
_cell_angle_alpha 90.00
_cell_angle_beta 90.00
_cell_angle_gamma 120.00
loop_
_atom_site_label
_atom_site_type_symbol
_atom_site_fract_x
_atom_site_fract_y
_atom_site_fract_z
K1 K 0.0000 0.0000 0.1380
Ca1 Ca 0.0000 0.0000 0.5000
V1 V 0.0000 0.5000 0.0000
F1 F 0.0207 0.5103 0.1105
F2 F 0.0751 0.5376 0.3383